1.
Lu2SnP | PBE | optimized geometry

Structure (POSCAR):
```
Lu2SnP
1.0
3.846 0.000 0.000
1.923 3.330 0.000
1.923 1.110 7.581
P Lu Sn
1 2 1
Direct
0.000 0.000 0.000 P
0.735 0.735 0.796 Lu
0.265 0.265 0.204 Lu
0.500 0.500 0.500 Sn
```

formation enthalpy at 0 K: -1.07 eV per atom
crystal system: trigonal
DFT total energy: -5.69 eV per atom
space-group type: No. 166

---

2.
TbLuP2 | PBE | optimized geometry

Structure (POSCAR):
```
TbLuP2
1.0
3.975 0.000 0.000
1.988 3.443 0.000
1.988 1.148 6.481
P Lu Tb
2 1 1
Direct
0.748 0.748 0.757 P
0.252 0.252 0.243 P
0.000 0.000 0.000 Lu
0.500 0.500 0.500 Tb
```

formation enthalpy at 0 K: -1.60 eV per atom
crystal system: trigonal
DFT total energy: -6.59 eV per atom
space-group type: No. 166

---

3.
TbLuP | PBE | optimized geometry

Structure (POSCAR):
```
TbLuP
1.0
-0.213 1.608 3.506
-0.688 -3.776 -0.438
6.084 -1.217 0.927
P Tb Lu
1 1 1
Direct
0.667 0.333 0.338 P
0.000 0.000 0.080 Tb
0.333 0.667 0.582 Lu
```

formation enthalpy at 0 K: -0.95 eV per atom
crystal system: trigonal
DFT total energy: -5.80 eV per atom
space-group type: No. 156

---

4.
Lu2TeP | PBE | optimized geometry

Structure (POSCAR):
```
Lu2TeP
1.0
-1.205 3.182 2.159
-1.685 -0.543 3.620
5.269 1.234 4.881
Lu Te P
2 1 1
Direct
0.264 0.264 0.207 Lu
0.736 0.736 0.793 Lu
0.500 0.500 0.500 Te
0.000 0.000 0.000 P
```

ΔE_f (raw): -1458 meV/atom
crystal system: trigonal
DFT total energy: -5.86 eV per atom
space-group type: No. 166

---

5.
Lu2TiP | PBE | optimized geometry

Structure (POSCAR):
```
Lu2TiP
1.0
-1.201 2.103 2.605
-2.357 -1.252 2.353
5.743 -2.513 7.105
Ti Lu P
1 2 1
Direct
0.000 0.000 0.000 Ti
0.107 0.107 0.678 Lu
0.893 0.893 0.322 Lu
0.500 0.500 0.500 P
```

formation enthalpy at 0 K: -0.17 eV per atom
crystal system: trigonal
DFT total energy: -5.76 eV per atom
space-group type: No. 166

---

6.
Lu3TlP | PBE | optimized geometry

Structure (POSCAR):
```
Lu3TlP
1.0
5.115 0.000 0.000
0.000 5.115 0.000
0.000 0.000 5.115
Lu Tl P
3 1 1
Direct
0.000 0.500 0.000 Lu
0.000 0.000 0.500 Lu
0.500 0.000 0.000 Lu
0.500 0.500 0.500 Tl
0.000 0.000 0.000 P
```

formation enthalpy at 0 K: -0.61 eV per atom
crystal system: cubic
DFT total energy: -4.88 eV per atom
space-group type: No. 221